1.
Density functional theory data (PBE) for a geometry-optimized TaCr2 structure.

Cell: 9.6145 3.0100 6.1075 Å, 90.00 109.64 90.00°
Last column: nearest neighbours and their distance in Å.
Space group C2/m (No. 12)
One atom of each set of equivalent atoms:
Ta1 0.1639 0.0000 0.0949 x4  7 Cr 2.64-2.94, 2 Ta 2.76
Cr1 0.0012 0.5000 0.2696 x4  4 Cr 2.47-2.56, 4 Ta 2.64-2.71
Cr2 0.1590 0.0000 0.5733 x4  6 Cr 2.47-2.68, 2 Ta 2.64

Output
**Distance to the lowest polymorph of the same formula**: 0.56 eV/f.u.
**Total DFT energy (no corrections)**: -10.31 eV per atom
**Formation energy**: 0.06 eV/atom

2.
Density functional theory data (PBE) for a geometry-optimized Ta2Cr structure.

Cell: 7.6404 7.6404 7.6404 Å, 90.00 90.00 90.00°
Last column: nearest neighbours and their distance in Å.
Space group Fd-3m (No. 227, origin choice 2)
One atom of each set of equivalent atoms:
Ta1 0.0000 0.0000 0.0000 x16  6 Ta 2.70
Cr1 0.1250 0.1250 0.6250 x8  12 Ta 3.17, 4 Cr 3.31

Output
**Total DFT energy (no corrections)**: -10.41 eV per atom
**Formation energy**: 0.70 eV/atom

3.
Density functional theory data (PBE) for a geometry-optimized Ta2Cr structure.

Cell: 4.6951 4.6951 5.1614 Å, 90.00 90.00 120.00°
Last column: nearest neighbours and their distance in Å.
Space group P6_3/mmc (No. 194)
One atom of each set of equivalent atoms:
Ta1 0.0000 0.0000 0.0000 x2  2 Ta 2.58
Ta2 0.3333 0.6667 0.2500 x2  5 Cr 2.58-2.71
Cr1 0.3333 0.6667 0.7500 x2  5 Ta 2.58-2.71

Output
**Total DFT energy (no corrections)**: -10.82 eV per atom
**Formation energy**: 0.29 eV/atom

4.
Density functional theory data (PBE) for a geometry-optimized TaCr2 structure.

Cell: 5.5812 5.5812 5.9211 Å, 90.00 90.00 90.00°
Last column: nearest neighbours and their distance in Å.
Space group I4/mcm (No. 140)
One atom of each set of equivalent atoms:
Ta1 0.0000 0.0000 0.2500 x4  8 Cr 2.56
Cr1 0.1615 0.3385 0.0000 x8  1 Cr 2.55, 4 Ta 2.56

Output
**Distance to the lowest polymorph of the same formula**: 2.93 eV/f.u.
**Total DFT energy (no corrections)**: -9.52 eV per atom
**Formation energy**: 0.85 eV/atom

5.
Density functional theory data (PBE) for a geometry-optimized Ta2Cr structure.

Cell: 7.2720 7.2720 3.2401 Å, 90.00 90.00 120.00°
Last column: nearest neighbours and their distance in Å.
Space group P-62m (No. 189)
One atom of each set of equivalent atoms:
Ta1 0.0000 0.2630 0.0000 x3  4 Cr 2.51-2.72
Ta2 0.0000 0.5884 0.5000 x3  5 Cr 2.73-2.99, 2 Ta 2.87
Cr1 0.0000 0.0000 0.5000 x1  6 Ta 2.51
Cr2 0.3333 0.6667 0.0000 x2  9 Ta 2.72-2.73

Output
**Total DFT energy (no corrections)**: -10.86 eV per atom
**Formation energy**: 0.25 eV/atom

6.
Density functional theory data (PBE) for a geometry-optimized TaCr5 structure.

Cell: 9.2814 2.9426 5.8950 Å, 90.00 108.29 90.00°
Last column: nearest neighbours and their distance in Å.
Space group C2/m (No. 12)
One atom of each set of equivalent atoms:
Ta1 0.0000 0.0000 0.0000 x2  8 Cr 2.60-2.61
Cr1 0.0000 0.0000 0.5000 x2  8 Cr 2.53-2.55
Cr2 0.1695 0.5000 0.8235 x4  6 Cr 2.49-2.60, 2 Ta 2.60
Cr3 0.1731 0.5000 0.3453 x4  6 Cr 2.43-2.55, 2 Ta 2.61

Output
**Distance to the lowest polymorph of the same formula**: 0.04 eV/f.u.
**Total DFT energy (no corrections)**: -9.96 eV per atom
**Formation energy**: 0.03 eV/atom

- The lowest total DFT energy (no corrections) belongs to which entry?
  number 5